# 1
12
Lattice="3.824 -6.624 0.000 3.824 6.624 0.000 -2.557 0.000 8.517" Properties=species:S:1:pos:R:3 comment="Rb3Ho2TiTe6 (GGA-PBE, relaxed)" magmom_total_mub_per_atom=0.08 density_g_cm3=5.4 formation_energy_uncorrected_mev_per_atom=-1162 pbc="T T T"
Rb 0.000 0.000 0.000
Rb 3.824 2.281 0.000
Rb 3.824 -2.281 0.000
Ho 2.545 4.426 4.258
Ho 2.545 -4.426 4.258
Ti 2.545 0.000 4.258
Te 1.341 2.092 2.622
Te 0.132 0.000 5.913
Te 1.341 -2.092 2.622
Te 3.750 2.092 5.895
Te 4.958 0.000 2.604
Te 3.750 -2.092 5.895

***

# 2
3
Lattice="-1.831 1.831 5.874 1.831 -1.831 5.874 1.831 1.831 -5.874" Properties=species:S:1:pos:R:3 comment="TbThPd (GGA-PBE, relaxed)" magmom_total_mub_per_atom=0.00 density_g_cm3=10.5 delta_e_f_ev_per_fu=-1.376 pbc="T T T"
Tb 0.000 0.000 0.000
Th 0.000 0.000 8.306
Pd 0.000 0.000 4.053

***

# 3
4
Lattice="3.502 0.000 0.000 0.000 5.915 0.000 0.000 0.000 6.080" Properties=species:S:1:pos:R:3 comment="CeTh3 (GGA-PBE, relaxed)" magmom_total_mub_per_atom=0.08 density_g_cm3=11.0 delta_e_f_ev_per_fu=0.250 pbc="T T T"
Ce 0.000 0.000 0.000
Th 0.000 2.957 1.982
Th 1.751 0.000 3.039
Th 1.751 2.957 5.039

***

# 4
18
Lattice="7.862 -5.826 0.000 7.862 5.826 0.000 -0.907 0.000 5.802" Properties=species:S:1:pos:R:3 comment="Na4Tl3Pb2 (GGA-PBE, relaxed)" magmom_total_mub_per_atom=0.00 density_g_cm3=7.0 delta_e_f_ev_per_fu=-0.827 pbc="T T T"
Na 6.025 4.281 5.689
Na 8.337 4.281 3.013
Na 5.421 1.385 3.970
Na 8.941 1.385 4.732
Na 5.875 -1.385 1.070
Na 9.394 -1.385 1.831
Na 6.479 -4.281 2.788
Na 8.791 -4.281 0.112
Tl 2.055 1.413 3.327
Tl 2.509 -1.413 0.426
Tl 7.635 1.395 1.450
Tl 7.181 -1.395 4.351
Tl 12.307 1.413 5.376
Tl 12.761 -1.413 2.475
Pb 4.230 1.524 0.784
Pb 3.776 -1.524 3.685
Pb 11.040 1.524 2.116
Pb 10.586 -1.524 5.017

***

# 5
12
Lattice="3.126 -5.416 0.000 3.126 5.416 0.000 -2.087 0.000 11.746" Properties=species:S:1:pos:R:3 comment="La2Sm6HoTm3 (GGA-PBE, relaxed)" magmom_total_mub_per_atom=0.00 density_g_cm3=7.7 delta_e_f_ev_per_fu=0.288 pbc="T T T"
La 3.126 3.612 0.000
La 3.126 -3.612 0.000
Sm 0.001 1.798 8.741
Sm 1.050 0.000 3.007
Sm 0.001 -1.798 8.741
Sm 4.163 1.798 3.004
Sm 3.114 0.000 8.739
Sm 4.163 -1.798 3.004
Ho 3.126 0.000 0.000
Tm -1.044 0.000 5.873
Tm 2.082 1.802 5.873
Tm 2.082 -1.802 5.873

***

# 6
15
Lattice="6.100 -6.103 0.000 6.100 6.103 0.000 -6.097 0.000 6.107" Properties=species:S:1:pos:R:3 comment="Ce8Te3Se4 (GGA-PBE, relaxed)" magmom_total_mub_per_atom=0.54 density_g_cm3=6.6 formation_energy_uncorrected_mev_per_atom=-1395 pbc="T T T"
Ce 6.100 3.159 0.000
Ce 0.045 0.000 2.951
Ce 2.943 0.000 0.075
Ce 3.051 2.989 3.053
Ce 3.051 -2.989 3.053
Ce 3.160 0.000 6.032
Ce 6.058 0.000 3.155
Ce 6.100 -3.159 0.000
Te 3.050 3.052 0.000
Te 3.050 -3.052 0.000
Te 6.100 0.000 0.000
Se 0.000 0.000 0.000
Se 0.002 3.052 3.053
Se 0.002 -3.052 3.053
Se 3.051 0.000 3.053

***

# 7
5
Lattice="5.434 0.000 0.000 0.000 5.434 0.000 0.000 0.000 5.333" Properties=species:S:1:pos:R:3 comment="LaBe2BP (GGA-PBE, relaxed)" magmom_total_mub_per_atom=0.00 density_g_cm3=2.1 delta_e_f_ev_per_fu=11.847 pbc="T T T"
La 0.000 0.000 0.000
Be 0.000 2.717 0.000
Be 2.717 0.000 0.000
B 2.717 2.717 2.666
P 0.000 0.000 2.666

***

# 8
8
Lattice="4.562 0.000 0.000 0.000 4.506 0.000 -2.282 0.000 10.931" Properties=species:S:1:pos:R:3 comment="Er2ScBi (GGA-PBE, relaxed)" magmom_total_mub_per_atom=0.00 density_g_cm3=8.7 delta_e_f_ev_per_fu=-1.322 pbc="T T T"
Er 0.000 1.126 1.338
Er -0.001 1.126 9.549
Er 2.281 3.379 1.382
Er 2.280 3.379 9.593
Sc -0.002 3.379 6.804
Sc 2.282 1.126 4.127
Bi 0.001 3.379 3.805
Bi 2.279 1.126 7.126

***

# 9
6
Lattice="15.140 0.000 0.000 0.000 1.658 2.868 0.000 -1.658 2.868" Properties=species:S:1:pos:R:3 comment="VSnBr (GGA-PBE, relaxed)" magmom_total_mub_per_atom=0.53 density_g_cm3=5.8 formation_energy_uncorrected_mev_per_atom=-6 pbc="T T T"
V 0.000 0.000 0.000
V 7.570 0.000 1.862
Sn 5.417 0.000 5.684
Sn 9.723 0.000 5.684
Br 1.699 0.000 1.914
Br 13.441 0.000 1.914

***

# 10
6
Lattice="2.977 0.000 0.000 0.151 4.905 0.000 1.190 1.399 7.190" Properties=species:S:1:pos:R:3 comment="MgVAg (GGA-PBE, relaxed)" magmom_total_mub_per_atom=0.00 density_g_cm3=5.8 delta_e_f_ev_per_fu=0.546 pbc="T T T"
Mg 0.000 0.000 0.000
Mg 1.314 3.885 5.295
V 2.557 1.425 4.524
V 3.224 2.454 3.070
Ag 1.612 4.848 2.471
Ag 1.616 2.443 0.605

***

# 11
5
Lattice="4.918 0.000 0.000 0.000 4.918 0.000 0.000 0.000 4.598" Properties=species:S:1:pos:R:3 comment="BeSe2IBr (GGA-PBE, relaxed)" magmom_total_mub_per_atom=0.00 density_g_cm3=5.6 formation_energy_uncorrected_mev_per_atom=229 pbc="T T T"
Be 0.000 0.000 0.000
Se 0.000 2.459 0.000
Se 2.459 0.000 0.000
I 2.459 2.459 2.299
Br 0.000 0.000 2.299

***

# 12
8
Lattice="-2.527 2.527 7.124 2.527 -2.527 7.124 2.527 2.527 -7.124" Properties=species:S:1:pos:R:3 comment="LiHo4Zn3 (GGA-PBE, relaxed)" magmom_total_mub_per_atom=0.00 density_g_cm3=7.9 delta_e_f_ev_per_fu=-1.936 pbc="T T T"
Li 0.000 0.000 0.000
Ho 2.527 0.000 1.818
Ho 2.527 0.000 5.306
Ho 0.000 2.527 1.818
Ho 0.000 2.527 5.306
Zn 0.000 0.000 3.534
Zn 0.000 0.000 7.124
Zn 0.000 0.000 10.715